NaPtAu: relaxed, PBE.

abc: 5.493 5.493 5.493
angles: 121.34 118.55 90.12
Positions (direct):
Na (0.371, 0.121, 0.250)
Na (0.629, 0.879, 0.750)
Pt (0.000, 0.000, 0.500)
Pt (0.000, 0.500, 0.000)
Au (0.000, 0.500, 0.500)
Au (0.500, 0.500, 0.000)

energy relative to the lowest polymorph listed for this composition = 0.0000 eV/atom
total energy = -3.8811 eV/atom
DFT formation energy = -335 meV per atom
symmetry = Imma (74)